#w
HoTlPd4 | PBE-GGA | optimized geometry

Unit cell a=4.999 b=8.914 c=5.030 alpha=90.00 beta=103.16 gamma=90.00
Sites, in units of the cell vectors:
Ho 0.000 0.000 0.000
Ho 0.500 0.500 0.000
Tl 0.500 0.000 0.500
Tl 0.000 0.500 0.500
Pd 0.000 0.667 0.000
Pd 0.500 0.167 0.000
Pd 0.500 0.332 0.500
Pd 0.000 0.832 0.500
Pd 0.000 0.333 0.000
Pd 0.500 0.833 0.000
Pd 0.500 0.668 0.500
Pd 0.000 0.168 0.500

Results
DOS at the Fermi energy ... 5.4 states/eV/cell

***

#x
HoTlPd4 | PBE-GGA | optimized geometry

Unit cell a=5.400 b=5.400 c=5.400 alpha=60.00 beta=60.00 gamma=60.00
Sites, in units of the cell vectors:
Tl 0.250 0.250 0.250
Ho 0.000 0.000 0.000
Pd 0.625 0.625 0.125
Pd 0.625 0.125 0.625
Pd 0.625 0.625 0.625
Pd 0.125 0.625 0.625

Results
DOS at the Fermi energy ... 2.4 states/eV/cell

***

#y
HoTlPd4 | PBE-GGA | optimized geometry

Unit cell a=3.954 b=5.180 c=6.565 alpha=103.41 beta=72.47 gamma=67.56
Sites, in units of the cell vectors:
Ho 0.500 0.500 0.500
Tl 0.000 0.000 0.000
Pd 0.837 0.496 0.830
Pd 0.336 0.997 0.332
Pd 0.163 0.504 0.170
Pd 0.664 0.003 0.668

Results
DOS at the Fermi energy ... 1.8 states/eV/cell

***

Best to worst by energy: #x, #y, #w.

***

#w
HoTmPd2 | PBE-GGA | optimized geometry

Unit cell a=3.415 b=4.958 c=4.958 alpha=90.00 beta=90.00 gamma=90.00
Sites, in units of the cell vectors:
Tm 0.500 0.000 0.000
Ho 0.500 0.500 0.500
Pd 0.000 0.000 0.500
Pd 0.000 0.500 0.000

Results
DOS at the Fermi energy ... 1.8 states/eV/cell

***

#x
HoTmPd2 | PBE-GGA | optimized geometry

Unit cell a=4.053 b=4.053 c=6.982 alpha=73.13 beta=73.13 gamma=60.00
Sites, in units of the cell vectors:
Tm 0.500 0.500 0.500
Ho 0.000 0.000 0.000
Pd 0.751 0.751 0.746
Pd 0.249 0.249 0.254

Results
DOS at the Fermi energy ... 3.3 states/eV/cell

***

Best to worst by energy: #w, #x.

***

#w
HoTmPd2 | PBE-GGA | optimized geometry

Unit cell a=4.924 b=4.924 c=4.924 alpha=60.00 beta=60.00 gamma=60.00
Sites, in units of the cell vectors:
Tm 0.000 0.000 0.000
Ho 0.500 0.500 0.500
Pd 0.250 0.250 0.250
Pd 0.750 0.750 0.750

Results
DOS at the Fermi energy ... 2.3 states/eV/cell

***

#x
HoTmPd2 | PBE-GGA | optimized geometry

Unit cell a=3.713 b=4.503 c=5.564 alpha=90.00 beta=109.55 gamma=90.00
Sites, in units of the cell vectors:
Ho 0.721 0.000 0.981
Tm 0.446 0.500 0.430
Pd 0.169 0.500 0.877
Pd 0.995 0.000 0.530

Results
DOS at the Fermi energy ... 3.4 states/eV/cell

***

Best to worst by energy: #x, #w.

***

#w
Ho4TmPd2 | PBE-GGA | optimized geometry

Unit cell a=3.907 b=3.907 c=15.227 alpha=82.63 beta=82.63 gamma=60.00
Sites, in units of the cell vectors:
Ho 0.698 0.698 0.906
Ho 0.895 0.895 0.316
Ho 0.302 0.302 0.094
Ho 0.105 0.105 0.684
Tm 0.500 0.500 0.500
Pd 0.598 0.598 0.205
Pd 0.402 0.402 0.795

Results
DOS at the Fermi energy ... 8.6 states/eV/cell

***

#x
Ho4TmPd2 | PBE-GGA | optimized geometry

Unit cell a=6.345 b=7.858 c=7.860 alpha=109.94 beta=90.00 gamma=90.00
Sites, in units of the cell vectors:
Ho 0.500 0.299 0.799
Ho 0.750 0.054 0.075
Ho 0.250 0.946 0.925
Ho 0.000 0.299 0.799
Ho 0.250 0.575 0.553
Ho 0.000 0.701 0.201
Ho 0.500 0.701 0.201
Ho 0.750 0.425 0.447
Tm 0.750 0.858 0.642
Tm 0.250 0.142 0.358
Pd 0.750 0.639 0.861
Pd 0.250 0.361 0.139
Pd 0.250 0.932 0.568
Pd 0.750 0.068 0.432

Results
DOS at the Fermi energy ... 16.3 states/eV/cell

***

Best to worst by energy: #x, #w.